The following is a GGA-PBE calculation of a relaxed Cd12SnHg16 crystal, from Alexandria via LeMat-Bulk.

DOS(E_F)   8.07 states/eV per cell
Magnetic moment   0.00 μB/cell
Formation energy from the elements   36.0 meV/atom
Symmetry   Cm
Crystal system   monoclinic

Unit cell a=11.4841 b=11.4842 c=10.3065 alpha=110.13 beta=110.13 gamma=124.71
Fractional positions:
Cd1 0.7944 0.7944 0.2578
Cd2 0.5861 0.5861 0.8447
Cd3 0.3171 0.1273 0.8879
Cd4 0.8879 0.6973 0.7663
Cd5 0.1455 0.9133 0.3240
Cd6 0.3293 0.0956 0.1708
Cd7 0.2075 0.7800 0.7852
Cd8 0.7800 0.2075 0.7852
Cd9 0.0956 0.3293 0.1708
Cd10 0.9133 0.1455 0.3241
Cd11 0.6973 0.8879 0.7663
Cd12 0.1273 0.3171 0.8878
Sn1 0.4768 0.4768 0.2165
Hg1 0.4314 0.4314 0.4690
Hg2 0.9966 0.9966 0.1099
Hg3 0.8921 0.8920 0.6281
Hg4 0.2007 0.2007 0.6257
Hg5 0.7128 0.4621 0.0215
Hg6 0.5984 0.2932 0.6090
Hg7 0.0594 0.5722 0.2891
Hg8 0.1008 0.6631 0.0254
Hg9 0.7896 0.4739 0.3794
Hg10 0.3959 0.9998 0.6655
Hg11 0.9998 0.3959 0.6655
Hg12 0.4739 0.7896 0.3794
Hg13 0.6631 0.1008 0.0254
Hg14 0.5722 0.0594 0.2891
Hg15 0.2932 0.5984 0.6090
Hg16 0.4621 0.7128 0.0214

The following is a GGA-PBE calculation of a relaxed CdSnHg2 crystal, from Alexandria via LeMat-Bulk.

DOS(E_F)   2.03 states/eV per cell
Magnetic moment   0.00 μB/cell
Formation energy from the elements   90.1 meV/atom
Symmetry   Fm-3m
Excess energy over the best structure of this formula in the dataset   0.25 eV per formula unit
Crystal system   cubic

Unit cell a=5.2262 b=5.2262 c=5.2262 alpha=60.00 beta=60.00 gamma=60.00
Fractional positions:
Cd1 0.0000 0.0000 0.0000
Hg1 0.2500 0.2500 0.2500
Hg2 0.7500 0.7500 0.7500
Sn1 0.5000 0.5000 0.5000

The following is a GGA-PBE calculation of a relaxed Cd3Sn2Hg crystal, from Alexandria via LeMat-Bulk.

DOS(E_F)   3.72 states/eV per cell
Magnetic moment   0.00 μB/cell
Formation energy from the elements   63.3 meV/atom
Symmetry   Cmc2_1
Excess energy over the best structure of this formula in the dataset   0.04 eV per formula unit
Crystal system   orthorhombic

Unit cell a=7.4977 b=6.9453 c=6.9453 alpha=114.46 beta=90.00 gamma=90.00
Fractional positions:
Cd1 0.4975 0.2463 0.7546
Cd2 0.9975 0.2454 0.7537
Cd3 0.4215 0.4217 0.4217
Cd4 0.9215 0.5783 0.5783
Cd5 0.9975 0.7537 0.2454
Cd6 0.4975 0.7546 0.2463
Sn1 0.7473 0.1223 0.3752
Sn2 0.2473 0.6248 0.8777
Sn3 0.2473 0.8777 0.6248
Sn4 0.7473 0.3752 0.1223
Hg1 0.6568 0.8560 0.8560
Hg2 0.1568 0.1440 0.1440

The following is a GGA-PBE calculation of a relaxed Cd3Sn3Hg crystal, from Alexandria via LeMat-Bulk.

DOS(E_F)   4.75 states/eV per cell
Magnetic moment   0.00 μB/cell
Formation energy from the elements   42.3 meV/atom
Symmetry   P6_3/m
Excess energy over the best structure of this formula in the dataset   0.00 eV per formula unit
Crystal system   hexagonal

Unit cell a=4.7436 b=9.4396 c=9.4398 alpha=120.00 beta=90.00 gamma=90.00
Fractional positions:
Cd1 0.7500 0.9010 0.3981
Cd2 0.7500 0.4971 0.0990
Cd3 0.7500 0.6019 0.5029
Cd4 0.2500 0.0990 0.6019
Cd5 0.2500 0.5029 0.9010
Cd6 0.2500 0.3981 0.4971
Sn1 0.7500 0.7905 0.0311
Sn2 0.7500 0.2406 0.2095
Sn3 0.7500 0.9689 0.7595
Sn4 0.2500 0.2095 0.9689
Sn5 0.2500 0.7594 0.7905
Sn6 0.2500 0.0311 0.2405
Hg1 0.7500 0.3334 0.6667
Hg2 0.2500 0.6666 0.3333

The following is a GGA-PBE calculation of a relaxed Cd4Sn2Hg3 crystal, from Alexandria via LeMat-Bulk.

DOS(E_F)   7.91 states/eV per cell
Magnetic moment   0.00 μB/cell
Formation energy from the elements   62.2 meV/atom
Symmetry   Pnnm
Crystal system   orthorhombic

Unit cell a=4.3889 b=7.1951 c=14.7951 alpha=90.00 beta=90.00 gamma=90.00
Fractional positions:
Cd1 0.5000 0.1529 0.8703
Cd2 0.5000 0.8471 0.1297
Cd3 0.0000 0.1324 0.1928
Cd4 0.0000 0.3471 0.3703
Cd5 0.5000 0.6324 0.3072
Cd6 0.0000 0.8676 0.8072
Cd7 0.0000 0.6529 0.6297
Cd8 0.5000 0.3676 0.6928
Sn1 0.0000 0.8256 0.4360
Sn2 0.5000 0.3256 0.0640
Sn3 0.0000 0.1744 0.5640
Sn4 0.5000 0.6744 0.9360
Hg1 0.0000 0.4404 0.8312
Hg2 0.5000 0.9404 0.6688
Hg3 0.0000 0.5596 0.1688
Hg4 0.5000 0.0596 0.3312
Hg5 0.0000 0.0000 0.0000
Hg6 0.5000 0.5000 0.5000

The following is a GGA-PBE calculation of a relaxed Cd2SnHg4 crystal, from Alexandria via LeMat-Bulk.

DOS(E_F)   3.86 states/eV per cell
Magnetic moment   0.00 μB/cell
Formation energy from the elements   143.3 meV/atom
Symmetry   I4/mmm
Excess energy over the best structure of this formula in the dataset   0.64 eV per formula unit
Crystal system   tetragonal

Unit cell a=5.8089 b=5.8089 c=8.2407 alpha=110.64 beta=110.64 gamma=90.00
Fractional positions:
Cd1 0.6004 0.6004 0.2007
Cd2 0.3996 0.3996 0.7993
Hg1 0.7970 0.7970 0.5939
Hg2 0.2030 0.2030 0.4061
Hg3 0.0000 0.5000 0.0000
Hg4 0.5000 0.0000 0.0000
Sn1 0.0000 0.0000 0.0000

The following is a GGA-PBE calculation of a relaxed Cd6SnHg6 crystal, from Alexandria via LeMat-Bulk.

DOS(E_F)   3.71 states/eV per cell
Magnetic moment   0.00 μB/cell
Formation energy from the elements   64.4 meV/atom
Symmetry   P6/mmm
Crystal system   hexagonal

Unit cell a=6.0518 b=6.0518 c=10.1276 alpha=90.00 beta=90.00 gamma=120.00
Fractional positions:
Cd1 0.0000 0.5000 0.7499
Cd2 0.5000 0.0000 0.7499
Cd3 0.5000 0.5000 0.7499
Cd4 0.5000 0.0000 0.2501
Cd5 0.0000 0.5000 0.2501
Cd6 0.5000 0.5000 0.2501
Sn1 0.0000 0.0000 0.0000
Hg1 0.0000 0.0000 0.6487
Hg2 0.0000 0.0000 0.3513
Hg3 0.3333 0.6667 0.0000
Hg4 0.6667 0.3333 0.0000
Hg5 0.3333 0.6667 0.5000
Hg6 0.6667 0.3333 0.5000

The following is a GGA-PBE calculation of a relaxed Cd2SnHg crystal, from Alexandria via LeMat-Bulk.

DOS(E_F)   1.80 states/eV per cell
Magnetic moment   0.00 μB/cell
Formation energy from the elements   43.8 meV/atom
Symmetry   Cmmm
Excess energy over the best structure of this formula in the dataset   0.03 eV per formula unit
Crystal system   orthorhombic

Unit cell a=3.5755 b=5.4329 c=5.4329 alpha=110.33 beta=90.00 gamma=90.00
Fractional positions:
Cd1 0.0000 0.5000 0.0000
Cd2 0.0000 0.0000 0.5000
Sn1 0.5000 0.5000 0.5000
Hg1 0.5000 0.0000 0.0000

Copy entry 3 word for word.
The following is a GGA-PBE calculation of a relaxed Cd3Sn2Hg crystal, from Alexandria via LeMat-Bulk.

DOS(E_F)   3.72 states/eV per cell
Magnetic moment   0.00 μB/cell
Formation energy from the elements   63.3 meV/atom
Symmetry   Cmc2_1
Excess energy over the best structure of this formula in the dataset   0.04 eV per formula unit
Crystal system   orthorhombic

Unit cell a=7.4977 b=6.9453 c=6.9453 alpha=114.46 beta=90.00 gamma=90.00
Fractional positions:
Cd1 0.4975 0.2463 0.7546
Cd2 0.9975 0.2454 0.7537
Cd3 0.4215 0.4217 0.4217
Cd4 0.9215 0.5783 0.5783
Cd5 0.9975 0.7537 0.2454
Cd6 0.4975 0.7546 0.2463
Sn1 0.7473 0.1223 0.3752
Sn2 0.2473 0.6248 0.8777
Sn3 0.2473 0.8777 0.6248
Sn4 0.7473 0.3752 0.1223
Hg1 0.6568 0.8560 0.8560
Hg2 0.1568 0.1440 0.1440

Q: formation energy from the elements of number 2 (CdSnHg2)?
A: 90.1 meV/atom

Please write out number 1 again, unchanged.
The following is a GGA-PBE calculation of a relaxed Cd12SnHg16 crystal, from Alexandria via LeMat-Bulk.

DOS(E_F)   8.07 states/eV per cell
Magnetic moment   0.00 μB/cell
Formation energy from the elements   36.0 meV/atom
Symmetry   Cm
Crystal system   monoclinic

Unit cell a=11.4841 b=11.4842 c=10.3065 alpha=110.13 beta=110.13 gamma=124.71
Fractional positions:
Cd1 0.7944 0.7944 0.2578
Cd2 0.5861 0.5861 0.8447
Cd3 0.3171 0.1273 0.8879
Cd4 0.8879 0.6973 0.7663
Cd5 0.1455 0.9133 0.3240
Cd6 0.3293 0.0956 0.1708
Cd7 0.2075 0.7800 0.7852
Cd8 0.7800 0.2075 0.7852
Cd9 0.0956 0.3293 0.1708
Cd10 0.9133 0.1455 0.3241
Cd11 0.6973 0.8879 0.7663
Cd12 0.1273 0.3171 0.8878
Sn1 0.4768 0.4768 0.2165
Hg1 0.4314 0.4314 0.4690
Hg2 0.9966 0.9966 0.1099
Hg3 0.8921 0.8920 0.6281
Hg4 0.2007 0.2007 0.6257
Hg5 0.7128 0.4621 0.0215
Hg6 0.5984 0.2932 0.6090
Hg7 0.0594 0.5722 0.2891
Hg8 0.1008 0.6631 0.0254
Hg9 0.7896 0.4739 0.3794
Hg10 0.3959 0.9998 0.6655
Hg11 0.9998 0.3959 0.6655
Hg12 0.4739 0.7896 0.3794
Hg13 0.6631 0.1008 0.0254
Hg14 0.5722 0.0594 0.2891
Hg15 0.2932 0.5984 0.6090
Hg16 0.4621 0.7128 0.0214

Copy entry 7 word for word.
The following is a GGA-PBE calculation of a relaxed Cd6SnHg6 crystal, from Alexandria via LeMat-Bulk.

DOS(E_F)   3.71 states/eV per cell
Magnetic moment   0.00 μB/cell
Formation energy from the elements   64.4 meV/atom
Symmetry   P6/mmm
Crystal system   hexagonal

Unit cell a=6.0518 b=6.0518 c=10.1276 alpha=90.00 beta=90.00 gamma=120.00
Fractional positions:
Cd1 0.0000 0.5000 0.7499
Cd2 0.5000 0.0000 0.7499
Cd3 0.5000 0.5000 0.7499
Cd4 0.5000 0.0000 0.2501
Cd5 0.0000 0.5000 0.2501
Cd6 0.5000 0.5000 0.2501
Sn1 0.0000 0.0000 0.0000
Hg1 0.0000 0.0000 0.6487
Hg2 0.0000 0.0000 0.3513
Hg3 0.3333 0.6667 0.0000
Hg4 0.6667 0.3333 0.0000
Hg5 0.3333 0.6667 0.5000
Hg6 0.6667 0.3333 0.5000